Record 1
The following is a DFT calculation (PBE-GGA) of a relaxed structure of Tb2SmSi2.

N(E_F) ... 10.40 states/eV per cell
Total energy ... -5.625 eV per atom
Calculated volume ... 24.36 A^3/atom
Crystal system ... tetragonal
SG ... P4/mbm (127)

Cell lengths 7.622, 7.622, 4.194 Å; angles 90.00, 90.00, 90.00 degrees
Atoms (fractional coordinates):
1 Tb 0.176 0.324 0.000
2 Tb 0.324 0.824 0.000
3 Tb 0.676 0.176 0.000
4 Tb 0.824 0.676 0.000
5 Sm 0.000 0.000 0.500
6 Sm 0.500 0.500 0.500
7 Si 0.114 0.614 0.500
8 Si 0.386 0.114 0.500
9 Si 0.614 0.886 0.500
10 Si 0.886 0.386 0.500

***

Record 2
The following is a DFT calculation (PBE-GGA) of a relaxed structure of Tb2SmSi6.

N(E_F) ... 5.74 states/eV per cell
Total energy ... -5.720 eV per atom
Calculated volume ... 19.51 A^3/atom
Crystal system ... hexagonal
SG ... P6/mmm (191)

Cell lengths 7.114, 7.114, 4.006 Å; angles 90.00, 90.00, 120.00 degrees
Atoms (fractional coordinates):
1 Tb 0.333 0.667 0.000
2 Tb 0.667 0.333 0.000
3 Sm 0.000 0.000 0.000
4 Si 0.000 0.335 0.500
5 Si 0.000 0.665 0.500
6 Si 0.335 0.000 0.500
7 Si 0.335 0.335 0.500
8 Si 0.665 0.000 0.500
9 Si 0.665 0.665 0.500